First-principles (PBE-GGA) data for La5Tb4Tm after structural relaxation, as listed in the Alexandria database.

Calculated volume = 34.36 A^3/atom
Total magnetic moment = 0.0 μB/f.u.
N(E_F) = 16.545 states/eV/cell
Space-group type = P4/mmm (123)
Total DFT energy (no corrections) = -0.1742 hartree per atom

a b c (Å): 3.697 3.697 25.133
angles (deg): 90.00 90.00 90.00
Element x y z (fractional)
Tb (0.000, 0.000, 0.198)
Tb (0.000, 0.000, 0.601)
Tb (0.000, 0.000, 0.399)
Tb (0.000, 0.000, 0.802)
La (0.500, 0.500, 0.701)
La (0.500, 0.500, 0.299)
La (0.500, 0.500, 0.500)
La (0.500, 0.500, 0.098)
La (0.500, 0.500, 0.902)
Tm (0.000, 0.000, 0.000)

First-principles (PBE-GGA) data for La2Tb2Tm3 after structural relaxation, as listed in the Alexandria database.

Calculated volume = 33.03 A^3/atom
Total magnetic moment = 0.0 μB/f.u.
N(E_F) = 10.408 states/eV/cell
Space-group type = Cmmm (65)
Total DFT energy (no corrections) = -0.1655 hartree per atom
ΔE to the lowest computed polymorph = 0 meV/atom

a b c (Å): 5.717 3.472 14.459
angles (deg): 90.00 53.66 90.00
Element x y z (fractional)
La (0.441, 0.500, 0.706)
La (0.559, 0.500, 0.294)
Tm (0.859, 0.000, 0.427)
Tm (0.141, 0.000, 0.573)
Tm (0.000, 0.000, 0.000)
Tb (0.283, 0.000, 0.145)
Tb (0.717, 0.000, 0.855)

First-principles (PBE-GGA) data for La6Tb2Tm3 after structural relaxation, as listed in the Alexandria database.

Calculated volume = 34.08 A^3/atom
Total magnetic moment = 0.0 μB/f.u.
N(E_F) = 17.108 states/eV/cell
Space-group type = P-1 (2)
Total DFT energy (no corrections) = -0.1735 hartree per atom

a b c (Å): 6.283 8.127 16.689
angles (deg): 50.64 63.65 104.70
Element x y z (fractional)
La (0.909, 0.451, 0.637)
La (0.091, 0.549, 0.363)
La (0.721, 0.359, 0.913)
La (0.279, 0.641, 0.087)
La (0.372, 0.191, 0.450)
La (0.628, 0.809, 0.550)
Tm (0.822, 0.914, 0.270)
Tm (0.178, 0.086, 0.730)
Tm (0.000, 0.000, 0.000)
Tb (0.552, 0.278, 0.179)
Tb (0.448, 0.722, 0.821)

First-principles (PBE-GGA) data for La2Tb5Tm5 after structural relaxation, as listed in the Alexandria database.

Calculated volume = 32.03 A^3/atom
Total magnetic moment = 0.0 μB/f.u.
N(E_F) = 18.666 states/eV/cell
Space-group type = C2/m (12)
Total DFT energy (no corrections) = -0.1684 hartree per atom

a b c (Å): 5.031 7.986 10.693
angles (deg): 72.64 76.39 71.64
Element x y z (fractional)
Tm (0.500, 0.500, 0.500)
Tm (0.334, 0.332, 0.001)
Tm (0.415, 0.920, 0.250)
Tm (0.666, 0.668, 0.999)
Tm (0.585, 0.080, 0.750)
Tb (0.832, 0.835, 0.500)
Tb (0.247, 0.754, 0.752)
Tb (0.168, 0.165, 0.500)
Tb (0.753, 0.246, 0.248)
Tb (0.000, 0.000, 0.000)
La (0.918, 0.414, 0.750)
La (0.082, 0.586, 0.250)

First-principles (PBE-GGA) data for La12TbTm7 after structural relaxation, as listed in the Alexandria database.

Calculated volume = 34.99 A^3/atom
Total magnetic moment = 0.0 μB/f.u.
N(E_F) = 28.153 states/eV/cell
Space-group type = R-3m (166)
Total DFT energy (no corrections) = -0.1674 hartree per atom
ΔE to the lowest computed polymorph = 3 meV/atom

a b c (Å): 6.345 11.482 11.482
angles (deg): 116.69 100.62 100.62
Element x y z (fractional)
Tb (0.000, 0.000, 0.000)
La (0.499, 0.408, 0.592)
La (0.908, 0.408, 0.816)
La (0.091, 0.184, 0.592)
La (0.501, 0.592, 0.408)
La (0.074, 0.646, 0.646)
La (0.428, 0.000, 0.354)
La (0.572, 0.000, 0.646)
La (0.926, 0.354, 0.354)
La (0.909, 0.816, 0.408)
La (0.428, 0.354, 0.000)
La (0.572, 0.646, 0.000)
La (0.092, 0.592, 0.184)
Tm (0.639, 0.754, 0.754)
Tm (0.115, 0.000, 0.754)
Tm (0.115, 0.754, 0.000)
Tm (0.361, 0.246, 0.246)
Tm (0.500, 0.000, 0.000)
Tm (0.885, 0.000, 0.246)
Tm (0.885, 0.246, 0.000)

First-principles (PBE-GGA) data for La4Tb3Tm2 after structural relaxation, as listed in the Alexandria database.

Calculated volume = 33.80 A^3/atom
Total magnetic moment = 0.0 μB/f.u.
N(E_F) = 15.475 states/eV/cell
Space-group type = C2/m (12)
Total DFT energy (no corrections) = -0.1725 hartree per atom
ΔE to the lowest computed polymorph = 0 meV/atom

a b c (Å): 5.157 8.062 8.127
angles (deg): 107.35 108.50 90.00
Element x y z (fractional)
Tm (0.332, 0.000, 0.664)
Tm (0.668, 0.000, 0.336)
La (0.554, 0.328, 0.107)
La (0.224, 0.332, 0.448)
La (0.446, 0.672, 0.893)
La (0.776, 0.668, 0.552)
Tb (0.112, 0.671, 0.224)
Tb (0.000, 0.000, 0.000)
Tb (0.888, 0.329, 0.776)

First-principles (PBE-GGA) data for La8Tb3Tm2 after structural relaxation, as listed in the Alexandria database.

Calculated volume = 35.78 A^3/atom
Total magnetic moment = 0.0 μB/f.u.
N(E_F) = 17.370 states/eV/cell
Space-group type = C2/m (12)
Total DFT energy (no corrections) = -0.1693 hartree per atom
ΔE to the lowest computed polymorph = 38 meV/atom

a b c (Å): 5.859 7.761 10.942
angles (deg): 110.77 90.03 90.00
Element x y z (fractional)
Tm (0.502, 0.760, 0.521)
Tm (0.498, 0.240, 0.479)
La (0.998, 0.324, 0.648)
La (0.501, 0.807, 0.212)
La (0.499, 0.594, 0.788)
La (0.000, 0.869, 0.738)
La (0.002, 0.676, 0.352)
La (0.000, 0.131, 0.262)
La (0.499, 0.193, 0.788)
La (0.501, 0.406, 0.212)
Tb (0.000, 0.283, 0.000)
Tb (0.500, 0.000, 0.000)
Tb (0.000, 0.717, 0.000)

First-principles (PBE-GGA) data for La4TbTm2 after structural relaxation, as listed in the Alexandria database.

Calculated volume = 34.57 A^3/atom
Total magnetic moment = 0.0 μB/f.u.
N(E_F) = 23.714 states/eV/cell
Space-group type = Fdd2 (43)
Total DFT energy (no corrections) = -0.1721 hartree per atom

a b c (Å): 12.721 12.721 6.862
angles (deg): 96.99 96.99 150.32
Element x y z (fractional)
La (0.564, 0.602, 0.143)
La (0.602, 0.564, 0.643)
La (0.143, 0.037, 0.096)
La (0.171, 0.709, 0.358)
La (0.191, 0.797, 0.905)
La (0.037, 0.143, 0.596)
La (0.709, 0.171, 0.858)
La (0.797, 0.191, 0.405)
Tm (0.105, 0.920, 0.545)
Tm (0.920, 0.105, 0.045)
Tm (0.311, 0.626, 0.955)
Tm (0.626, 0.311, 0.455)
Tb (0.418, 0.668, 0.500)
Tb (0.668, 0.418, 0.000)

First-principles (PBE-GGA) data for La8TbTm3 after structural relaxation, as listed in the Alexandria database.

Calculated volume = 34.51 A^3/atom
Total magnetic moment = 0.0 μB/f.u.
N(E_F) = 17.571 states/eV/cell
Space-group type = P1 (1)
Total DFT energy (no corrections) = -0.1741 hartree per atom

a b c (Å): 9.176 9.181 9.177
angles (deg): 78.50 143.20 113.55
Element x y z (fractional)
La (0.918, 0.666, 0.749)
La (0.590, 0.210, 0.620)
La (0.254, 0.876, 0.624)
La (0.589, 0.970, 0.379)
La (0.246, 0.364, 0.119)
La (0.252, 0.629, 0.376)
La (0.247, 0.129, 0.882)
La (0.917, 0.168, 0.252)
Tm (0.929, 0.429, 0.500)
Tm (0.578, 0.457, 0.879)
Tm (0.578, 0.699, 0.121)
Tb (0.902, 0.902, 0.000)

First-principles (PBE-GGA) data for LaTb8Tm3 after structural relaxation, as listed in the Alexandria database.

Calculated volume = 34.59 A^3/atom
Total magnetic moment = 0.0 μB/f.u.
N(E_F) = 15.444 states/eV/cell
Space-group type = Immm (71)
Total DFT energy (no corrections) = -0.1572 hartree per atom

a b c (Å): 8.658 8.658 8.658
angles (deg): 97.58 98.23 136.47
Element x y z (fractional)
Tb (0.831, 0.252, 0.082)
Tb (0.495, 0.758, 0.737)
Tb (0.979, 0.242, 0.737)
Tb (0.505, 0.242, 0.263)
Tb (0.021, 0.758, 0.263)
Tb (0.169, 0.748, 0.918)
Tb (0.169, 0.252, 0.421)
Tb (0.831, 0.748, 0.579)
Tm (0.500, 0.765, 0.265)
Tm (0.500, 0.235, 0.735)
Tm (0.000, 0.500, 0.500)
La (0.000, 0.000, 0.000)

First-principles (PBE-GGA) data for LaTb3Tm after structural relaxation, as listed in the Alexandria database.

Calculated volume = 33.81 A^3/atom
Total magnetic moment = 0.0 μB/f.u.
N(E_F) = 15.222 states/eV/cell
Space-group type = Ama2 (40)
Total DFT energy (no corrections) = -0.1629 hartree per atom
ΔE to the lowest computed polymorph = 202 meV/atom

a b c (Å): 5.931 5.931 10.164
angles (deg): 90.00 90.00 108.99
Element x y z (fractional)
Tb (0.296, 0.596, 0.566)
Tb (0.296, 0.596, 0.934)
Tb (0.596, 0.296, 0.434)
Tb (0.596, 0.296, 0.066)
Tb (0.088, 0.286, 0.250)
Tb (0.286, 0.088, 0.750)
La (0.437, 0.827, 0.250)
La (0.827, 0.437, 0.750)
Tm (0.908, 0.908, 0.000)
Tm (0.908, 0.908, 0.500)

First-principles (PBE-GGA) data for LaTb8Tm6 after structural relaxation, as listed in the Alexandria database.

Calculated volume = 32.00 A^3/atom
Total magnetic moment = 0.0 μB/f.u.
N(E_F) = 24.116 states/eV/cell
Space-group type = R-3 (148)
Total DFT energy (no corrections) = -0.1634 hartree per atom
ΔE to the lowest computed polymorph = 0 meV/atom

a b c (Å): 8.969 8.969 8.618
angles (deg): 58.64 58.64 60.00
Element x y z (fractional)
Tm (0.244, 0.534, 0.121)
Tm (0.900, 0.756, 0.879)
Tm (0.466, 0.900, 0.879)
Tm (0.534, 0.100, 0.121)
Tm (0.100, 0.244, 0.121)
Tm (0.756, 0.466, 0.879)
Tb (0.112, 0.748, 0.422)
Tb (0.283, 0.888, 0.578)
Tb (0.748, 0.717, 0.422)
Tb (0.888, 0.252, 0.578)
Tb (0.717, 0.112, 0.422)
Tb (0.577, 0.577, 0.268)
Tb (0.252, 0.283, 0.578)
Tb (0.423, 0.423, 0.732)
La (0.000, 0.000, 0.000)

First-principles (PBE-GGA) data for La2TbTm12 after structural relaxation, as listed in the Alexandria database.

Calculated volume = 31.63 A^3/atom
Total magnetic moment = 0.0 μB/f.u.
N(E_F) = 48.231 states/eV/cell
Space-group type = P2/m (10)
Total DFT energy (no corrections) = -0.1627 hartree per atom

a b c (Å): 6.581 6.581 24.778
angles (deg): 83.40 96.60 64.89
Element x y z (fractional)
Tm (0.902, 0.098, 0.200)
Tm (0.557, 0.443, 0.074)
Tm (0.666, 0.334, 0.554)
Tm (0.398, 0.102, 0.865)
Tm (0.822, 0.678, 0.430)
Tm (0.834, 0.166, 0.446)
Tm (0.102, 0.398, 0.135)
Tm (0.000, 0.000, 0.333)
Tm (0.178, 0.322, 0.571)
Tm (0.500, 0.500, 0.333)
Tm (0.898, 0.602, 0.865)
Tm (0.943, 0.057, 0.926)
Tm (0.402, 0.598, 0.200)
Tm (0.602, 0.898, 0.135)
Tm (0.166, 0.834, 0.554)
Tm (0.322, 0.178, 0.429)
Tm (0.334, 0.666, 0.446)
Tm (0.057, 0.943, 0.074)
Tm (0.000, 0.000, 0.667)
Tm (0.443, 0.557, 0.926)
Tm (0.598, 0.402, 0.800)
Tm (0.098, 0.902, 0.800)
Tm (0.678, 0.822, 0.570)
Tm (0.500, 0.500, 0.667)
Tb (0.000, 0.500, 0.000)
Tb (0.500, 0.000, 0.000)
La (0.956, 0.544, 0.273)
La (0.044, 0.456, 0.727)
La (0.456, 0.044, 0.273)
La (0.544, 0.956, 0.727)

First-principles (PBE-GGA) data for LaTb12Tm6 after structural relaxation, as listed in the Alexandria database.

Calculated volume = 32.46 A^3/atom
Total magnetic moment = 0.0 μB/f.u.
N(E_F) = 34.552 states/eV/cell
Space-group type = R-3 (148)
Total DFT energy (no corrections) = -0.1633 hartree per atom
ΔE to the lowest computed polymorph = 0 meV/atom

a b c (Å): 8.515 8.515 8.515
angles (deg): 88.50 88.50 88.50
Element x y z (fractional)
Tm (0.742, 0.905, 0.310)
Tm (0.310, 0.742, 0.905)
Tm (0.905, 0.310, 0.742)
Tm (0.258, 0.095, 0.690)
Tm (0.095, 0.690, 0.258)
Tm (0.690, 0.258, 0.095)
Tb (0.543, 0.434, 0.776)
Tb (0.794, 0.642, 0.990)
Tb (0.457, 0.566, 0.224)
Tb (0.776, 0.543, 0.434)
Tb (0.990, 0.794, 0.642)
Tb (0.566, 0.224, 0.457)
Tb (0.010, 0.206, 0.358)
Tb (0.358, 0.010, 0.206)
Tb (0.642, 0.990, 0.794)
Tb (0.224, 0.457, 0.566)
Tb (0.434, 0.776, 0.543)
Tb (0.206, 0.358, 0.010)
La (0.000, 0.000, 0.000)

First-principles (PBE-GGA) data for La12Tb5Tm after structural relaxation, as listed in the Alexandria database.

Calculated volume = 34.97 A^3/atom
Total magnetic moment = 0.0 μB/f.u.
N(E_F) = 27.533 states/eV/cell
Space-group type = C2/m (12)
Total DFT energy (no corrections) = -0.1764 hartree per atom

a b c (Å): 10.931 11.038 6.383
angles (deg): 107.12 90.00 60.32
Element x y z (fractional)
La (0.337, 0.667, 0.000)
La (0.672, 0.000, 0.000)
La (0.162, 0.333, 0.500)
La (0.663, 0.333, 0.000)
La (0.496, 0.667, 0.500)
La (0.996, 0.667, 0.000)
La (0.830, 0.000, 0.500)
La (0.838, 0.667, 0.500)
La (0.504, 0.333, 0.500)
La (0.004, 0.333, 0.000)
La (0.170, 0.000, 0.500)
La (0.328, 0.000, 0.000)
Tb (0.166, 0.667, 0.502)
Tb (0.333, 0.333, 0.000)
Tb (0.667, 0.667, 0.000)
Tb (0.500, 0.000, 0.500)
Tb (0.834, 0.333, 0.498)
Tm (0.000, 0.000, 0.000)

First-principles (PBE-GGA) data for LaTb5Tm3 after structural relaxation, as listed in the Alexandria database.

Calculated volume = 32.64 A^3/atom
Total magnetic moment = 0.0 μB/f.u.
N(E_F) = 28.475 states/eV/cell
Space-group type = C2/c (15)
Total DFT energy (no corrections) = -0.1624 hartree per atom
ΔE to the lowest computed polymorph = 0 meV/atom

a b c (Å): 6.699 12.280 11.424
angles (deg): 136.99 90.00 105.83
Element x y z (fractional)
Tm (0.000, 0.000, 0.500)
Tm (0.857, 0.479, 0.121)
Tm (0.378, 0.521, 0.379)
Tm (0.000, 0.000, 0.000)
Tm (0.143, 0.521, 0.879)
Tm (0.622, 0.479, 0.621)
Tb (0.294, 0.352, 0.977)
Tb (0.942, 0.648, 0.523)
Tb (0.602, 0.218, 0.172)
Tb (0.398, 0.782, 0.828)
Tb (0.615, 0.218, 0.672)
Tb (0.058, 0.352, 0.477)
Tb (0.682, 0.000, 0.250)
Tb (0.385, 0.782, 0.328)
Tb (0.706, 0.648, 0.023)
Tb (0.318, 0.000, 0.750)
La (0.228, 0.000, 0.250)
La (0.772, 0.000, 0.750)

First-principles (PBE-GGA) data for La2Tb2Tm5 after structural relaxation, as listed in the Alexandria database.

Calculated volume = 32.90 A^3/atom
Total magnetic moment = 0.0 μB/f.u.
N(E_F) = 32.179 states/eV/cell
Space-group type = Ima2 (46)
Total DFT energy (no corrections) = -0.1617 hartree per atom
ΔE to the lowest computed polymorph = 0 meV/atom

a b c (Å): 11.832 6.716 10.091
angles (deg): 109.44 125.89 90.00
Element x y z (fractional)
Tm (0.808, 0.256, 0.106)
Tm (0.798, 0.756, 0.106)
Tm (0.624, 0.743, 0.714)
Tm (0.192, 0.150, 0.894)
Tm (0.994, 0.162, 0.500)
Tm (0.006, 0.662, 0.500)
Tm (0.202, 0.650, 0.894)
Tm (0.376, 0.028, 0.286)
Tm (0.590, 0.243, 0.714)
Tm (0.410, 0.528, 0.286)
Tb (0.500, 0.518, 0.000)
Tb (0.000, 0.018, 0.000)
Tb (0.260, 0.357, 0.500)
Tb (0.740, 0.857, 0.500)
La (0.627, 0.189, 0.255)
La (0.128, 0.689, 0.255)
La (0.373, 0.934, 0.745)
La (0.872, 0.434, 0.745)

First-principles (PBE-GGA) data for LaTb4Tm2 after structural relaxation, as listed in the Alexandria database.

Calculated volume = 33.30 A^3/atom
Total magnetic moment = 0.0 μB/f.u.
N(E_F) = 9.250 states/eV/cell
Space-group type = I4/mmm (139)
Total DFT energy (no corrections) = -0.1601 hartree per atom
ΔE to the lowest computed polymorph = 229 meV/atom

a b c (Å): 4.537 4.537 11.772
angles (deg): 101.11 101.11 90.00
Element x y z (fractional)
Tb (0.860, 0.860, 0.720)
Tb (0.750, 0.250, 0.500)
Tb (0.250, 0.750, 0.500)
Tb (0.140, 0.140, 0.280)
Tm (0.400, 0.400, 0.799)
Tm (0.600, 0.600, 0.201)
La (0.000, 0.000, 0.000)

First-principles (PBE-GGA) data for La3Tb5Tm3 after structural relaxation, as listed in the Alexandria database.

Calculated volume = 41.50 A^3/atom
Total magnetic moment = 0.0 μB/f.u.
N(E_F) = 19.352 states/eV/cell
Space-group type = P-62m (189)
Total DFT energy (no corrections) = -0.1445 hartree per atom

a b c (Å): 5.700 9.616 9.616
angles (deg): 120.00 90.00 90.00
Element x y z (fractional)
Tb (0.500, 0.731, 0.000)
Tb (0.500, 0.667, 0.333)
Tb (0.500, 0.000, 0.731)
Tb (0.500, 0.333, 0.667)
Tb (0.500, 0.269, 0.269)
La (0.000, 0.417, 0.417)
La (0.000, 0.000, 0.583)
La (0.000, 0.583, 0.000)
Tm (0.500, 0.627, 0.627)
Tm (0.500, 0.000, 0.373)
Tm (0.500, 0.373, 0.000)